A plane-wave DFT calculation with PBE-GGA was carried out for a relaxed structure of CaAl2O4.

Cell and atoms, written as CIF:
```
data_CaAl2O4
_cell_length_a 8.0272
_cell_length_b 8.7035
_cell_length_c 10.3842
_cell_angle_alpha 90.00
_cell_angle_beta 95.02
_cell_angle_gamma 90.00
_symmetry_space_group_name_H-M 'P 1 21/c 1'
_symmetry_Int_Tables_number 14
_symmetry_space_group_name_Hall '-P 2ybc'
loop_
_atom_site_label
_atom_site_fract_x
_atom_site_fract_y
_atom_site_fract_z
Ca1 0.0040 0.2173 0.1263
Ca2 0.4672 0.2443 0.1443
Al1 0.1792 0.5573 0.1384
Al2 0.2249 0.0586 0.3682
Al3 0.2927 0.6068 0.6159
Al4 0.3042 0.0965 0.8897
O1 0.0203 0.5145 0.8311
O2 0.1526 0.7431 0.0715
O3 0.2144 0.0661 0.0387
O4 0.2327 0.2439 0.2927
O5 0.2717 0.0765 0.5374
O6 0.2853 0.5751 0.2965
O7 0.3475 0.5673 0.7822
O8 0.4882 0.6549 0.5602
```

Computed properties:
* total moment: 0.28 μB per cell
* calculated density: 2.90 g cm⁻³
* relative energy among the computed polymorphs: 0.000 eV/atom
* formation energy from raw total energies: -3.06 eV/atom

A plane-wave DFT calculation with PBE-GGA was carried out for a relaxed structure of MgMoAu2.

Cell and atoms, written as CIF:
```
data_MgMoAu2
_cell_length_a 2.8292
_cell_length_b 4.9534
_cell_length_c 10.0911
_cell_angle_alpha 90.00
_cell_angle_beta 90.00
_cell_angle_gamma 90.00
_symmetry_space_group_name_H-M 'I m m 2'
_symmetry_Int_Tables_number 44
_symmetry_space_group_name_Hall 'I 2 -2'
loop_
_atom_site_label
_atom_site_fract_x
_atom_site_fract_y
_atom_site_fract_z
Mg1 0.0000 0.0000 0.0000
Mo1 0.0000 0.5000 0.7621
Au1 0.0000 0.0000 0.5045
Au2 0.0000 0.5000 0.2575
```

Computed properties:
* total moment: 1.53 μB per cell
* ΔE_f: 0.10 eV/atom
* calculated density: 12.08 g cm⁻³

A plane-wave DFT calculation with PBE-GGA was carried out for a relaxed structure of CaHo2In2.

Cell and atoms, written as CIF:
```
data_CaHo2In2
_cell_length_a 5.3309
_cell_length_b 5.3379
_cell_length_c 6.4942
_cell_angle_alpha 66.02
_cell_angle_beta 65.90
_cell_angle_gamma 60.12
_symmetry_space_group_name_H-M 'P -1'
_symmetry_Int_Tables_number 2
_symmetry_space_group_name_Hall '-P 1'
loop_
_atom_site_label
_atom_site_fract_x
_atom_site_fract_y
_atom_site_fract_z
Ca1 0.0000 0.0000 0.0000
Ho1 0.2185 0.2199 0.3438
In1 0.4142 0.4113 0.7590
```

Computed properties:
* total moment: 0.00 μB per cell
* ΔE_f: -0.36 eV/atom
* calculated density: 7.04 g cm⁻³

A plane-wave DFT calculation with PBE-GGA was carried out for a relaxed structure of LiHoThOs.

Cell and atoms, written as CIF:
```
data_LiHoThOs
_cell_length_a 7.0600
_cell_length_b 7.0600
_cell_length_c 7.0600
_cell_angle_alpha 90.00
_cell_angle_beta 90.00
_cell_angle_gamma 90.00
_symmetry_space_group_name_H-M 'F -4 3 m'
_symmetry_Int_Tables_number 216
_symmetry_space_group_name_Hall 'F -4 2 3'
loop_
_atom_site_label
_atom_site_fract_x
_atom_site_fract_y
_atom_site_fract_z
Li1 0.0000 0.0000 0.0000
Ho1 0.2500 0.2500 0.2500
Th1 0.2500 0.2500 0.7500
Os1 0.0000 0.0000 0.5000
```

Computed properties:
* total moment: 0.00 μB per cell
* ΔE_f: -0.21 eV/atom
* calculated density: 11.21 g cm⁻³